(1)
This record from the Alexandria database describes crystalline Mn4AsPt at its relaxed geometry. The functional is PBE.

```
data_Mn4AsPt
_symmetry_space_group_name_H-M 'P 1'
_symmetry_Int_Tables_number 1
_cell_length_a 4.8556
_cell_length_b 4.8556
_cell_length_c 4.8556
_cell_angle_alpha 60.00
_cell_angle_beta 60.00
_cell_angle_gamma 60.00
loop_
_symmetry_equiv_pos_as_xyz
'x,y,z'
loop_
_atom_site_label
_atom_site_type_symbol
_atom_site_fract_x
_atom_site_fract_y
_atom_site_fract_z
_atom_site_occupancy
As1 As 0.0000 0.0000 0.0000 1
Pt1 Pt 0.7500 0.7500 0.7500 1
Mn1 Mn 0.3749 0.3749 0.8753 1
Mn2 Mn 0.3749 0.3749 0.3749 1
Mn3 Mn 0.3749 0.8753 0.3749 1
Mn4 Mn 0.8753 0.3749 0.3749 1
```

Space group ... F-43m
Calculated total energy ... -7.6130 eV per atom

(2)
This record from the Alexandria database describes crystalline MnAsPt2 at its relaxed geometry. The functional is PBE.

```
data_MnAsPt2
_symmetry_space_group_name_H-M 'P 1'
_symmetry_Int_Tables_number 1
_cell_length_a 8.6334
_cell_length_b 8.6334
_cell_length_c 8.6334
_cell_angle_alpha 19.25
_cell_angle_beta 19.25
_cell_angle_gamma 19.25
loop_
_symmetry_equiv_pos_as_xyz
'x,y,z'
loop_
_atom_site_label
_atom_site_type_symbol
_atom_site_fract_x
_atom_site_fract_y
_atom_site_fract_z
_atom_site_occupancy
As1 As 0.4958 0.4958 0.4958 1
Mn1 Mn 0.7532 0.7532 0.7532 1
Pt1 Pt 0.2455 0.2455 0.2455 1
Pt2 Pt 0.0056 0.0056 0.0056 1
```

Space group ... R3m
Calculated total energy ... -6.5111 eV per atom

(3)
This record from the Alexandria database describes crystalline MnAsPt2 at its relaxed geometry. The functional is PBE.

```
data_MnAsPt2
_symmetry_space_group_name_H-M 'P 1'
_symmetry_Int_Tables_number 1
_cell_length_a 4.9726
_cell_length_b 4.9726
_cell_length_c 4.9726
_cell_angle_alpha 133.67
_cell_angle_beta 133.67
_cell_angle_gamma 67.60
loop_
_symmetry_equiv_pos_as_xyz
'x,y,z'
loop_
_atom_site_label
_atom_site_type_symbol
_atom_site_fract_x
_atom_site_fract_y
_atom_site_fract_z
_atom_site_occupancy
As1 As 0.5000 0.5000 0.0000 1
Mn1 Mn 0.7500 0.2500 0.5000 1
Pt1 Pt 0.0000 0.0000 0.0000 1
Pt2 Pt 0.2500 0.7500 0.5000 1
```

Space group ... I-4m2
Calculated total energy ... -6.6408 eV per atom

(4)
This record from the Alexandria database describes crystalline MnAsPt2 at its relaxed geometry. The functional is PBE.

```
data_MnAsPt2
_symmetry_space_group_name_H-M 'P 1'
_symmetry_Int_Tables_number 1
_cell_length_a 4.6679
_cell_length_b 4.6679
_cell_length_c 3.0335
_cell_angle_alpha 89.98
_cell_angle_beta 89.98
_cell_angle_gamma 105.87
loop_
_symmetry_equiv_pos_as_xyz
'x,y,z'
loop_
_atom_site_label
_atom_site_type_symbol
_atom_site_fract_x
_atom_site_fract_y
_atom_site_fract_z
_atom_site_occupancy
Pt1 Pt 0.0000 0.0000 0.0000 1
Mn1 Mn 0.0000 0.5000 0.5000 1
Pt2 Pt 0.5000 0.5000 0.0000 1
As1 As 0.5000 0.0000 0.5000 1
```

Space group ... Cmmm
Calculated total energy ... -6.6353 eV per atom

(5)
This record from the Alexandria database describes crystalline MnAsPt2 at its relaxed geometry. The functional is PBE.

```
data_MnAsPt2
_symmetry_space_group_name_H-M 'P 1'
_symmetry_Int_Tables_number 1
_cell_length_a 3.9612
_cell_length_b 2.8717
_cell_length_c 5.6765
_cell_angle_alpha 75.50
_cell_angle_beta 90.00
_cell_angle_gamma 90.00
loop_
_symmetry_equiv_pos_as_xyz
'x,y,z'
loop_
_atom_site_label
_atom_site_type_symbol
_atom_site_fract_x
_atom_site_fract_y
_atom_site_fract_z
_atom_site_occupancy
Pt1 Pt 0.5000 0.4360 0.2543 1
As1 As 0.0000 0.2989 0.5260 1
Pt2 Pt 0.0000 0.0723 0.9801 1
Mn1 Mn 0.5000 0.6929 0.7396 1
```

Space group ... Pm
Calculated total energy ... -6.6679 eV per atom

(6)
This record from the Alexandria database describes crystalline Mn3AsPt at its relaxed geometry. The functional is PBE.

```
data_Mn3AsPt
_symmetry_space_group_name_H-M 'P 1'
_symmetry_Int_Tables_number 1
_cell_length_a 4.8431
_cell_length_b 4.8431
_cell_length_c 4.8431
_cell_angle_alpha 90.00
_cell_angle_beta 90.00
_cell_angle_gamma 90.00
loop_
_symmetry_equiv_pos_as_xyz
'x,y,z'
loop_
_atom_site_label
_atom_site_type_symbol
_atom_site_fract_x
_atom_site_fract_y
_atom_site_fract_z
_atom_site_occupancy
As1 As 0.5000 0.5000 0.5000 1
Mn1 Mn 0.0000 0.5000 0.0000 1
Mn2 Mn 0.5000 0.0000 0.0000 1
Mn3 Mn 0.0000 0.0000 0.5000 1
Pt1 Pt 0.0000 0.0000 0.0000 1
```

Space group ... Pm-3m
Calculated total energy ... -6.9104 eV per atom

(7)
This record from the Alexandria database describes crystalline MnAsPt2 at its relaxed geometry. The functional is PBE.

```
data_MnAsPt2
_symmetry_space_group_name_H-M 'P 1'
_symmetry_Int_Tables_number 1
_cell_length_a 3.9731
_cell_length_b 3.9736
_cell_length_c 3.9877
_cell_angle_alpha 90.00
_cell_angle_beta 90.00
_cell_angle_gamma 90.00
loop_
_symmetry_equiv_pos_as_xyz
'x,y,z'
loop_
_atom_site_label
_atom_site_type_symbol
_atom_site_fract_x
_atom_site_fract_y
_atom_site_fract_z
_atom_site_occupancy
Mn1 Mn 0.0000 0.5000 0.5000 1
Pt1 Pt 0.5000 0.5000 0.0000 1
As1 As 0.5000 0.0000 0.5000 1
Pt2 Pt 0.0000 0.0000 0.0000 1
```

Space group ... P4/mmm
Calculated total energy ... -6.6345 eV per atom

(8)
This record from the Alexandria database describes crystalline MnAsPt2 at its relaxed geometry. The functional is PBE.

```
data_MnAsPt2
_symmetry_space_group_name_H-M 'P 1'
_symmetry_Int_Tables_number 1
_cell_length_a 4.4693
_cell_length_b 4.4693
_cell_length_c 4.4693
_cell_angle_alpha 60.00
_cell_angle_beta 60.00
_cell_angle_gamma 60.00
loop_
_symmetry_equiv_pos_as_xyz
'x,y,z'
loop_
_atom_site_label
_atom_site_type_symbol
_atom_site_fract_x
_atom_site_fract_y
_atom_site_fract_z
_atom_site_occupancy
As1 As 0.5000 0.5000 0.5000 1
Mn1 Mn 0.7500 0.7500 0.7500 1
Pt1 Pt 0.0000 0.0000 0.0000 1
Pt2 Pt 0.2500 0.2500 0.2500 1
```

Space group ... F-43m
Calculated total energy ... -6.5472 eV per atom

(9)
This record from the Alexandria database describes crystalline MnAsPt2 at its relaxed geometry. The functional is PBE.

```
data_MnAsPt2
_symmetry_space_group_name_H-M 'P 1'
_symmetry_Int_Tables_number 1
_cell_length_a 3.3747
_cell_length_b 3.3747
_cell_length_c 5.5511
_cell_angle_alpha 90.00
_cell_angle_beta 90.00
_cell_angle_gamma 90.00
loop_
_symmetry_equiv_pos_as_xyz
'x,y,z'
loop_
_atom_site_label
_atom_site_type_symbol
_atom_site_fract_x
_atom_site_fract_y
_atom_site_fract_z
_atom_site_occupancy
Pt1 Pt 0.0000 0.0000 0.5061 1
As1 As 0.5000 0.5000 0.2500 1
Mn1 Mn 0.5000 0.5000 0.7500 1
Pt2 Pt 0.0000 0.0000 0.9939 1
```

Space group ... P4/mmm
Calculated total energy ... -6.7133 eV per atom

(10)
This record from the Alexandria database describes crystalline Pu2MnAs4Pt3 at its relaxed geometry. The functional is PBE.

```
data_Pu2MnAs4Pt3
_symmetry_space_group_name_H-M 'P 1'
_symmetry_Int_Tables_number 1
_cell_length_a 4.3823
_cell_length_b 4.3823
_cell_length_c 10.1138
_cell_angle_alpha 90.00
_cell_angle_beta 90.00
_cell_angle_gamma 90.00
loop_
_symmetry_equiv_pos_as_xyz
'x,y,z'
loop_
_atom_site_label
_atom_site_type_symbol
_atom_site_fract_x
_atom_site_fract_y
_atom_site_fract_z
_atom_site_occupancy
Pt1 Pt 0.5000 0.0000 0.8762 1
As1 As 0.5000 0.5000 0.0000 1
As2 As 0.0000 0.0000 0.0000 1
Pu1 Pu 0.0000 0.5000 0.7600 1
Pt2 Pt 0.0000 0.5000 0.1238 1
Pt3 Pt 0.0000 0.0000 0.5000 1
Mn1 Mn 0.5000 0.5000 0.5000 1
As3 As 0.5000 0.0000 0.6327 1
As4 As 0.0000 0.5000 0.3673 1
Pu2 Pu 0.5000 0.0000 0.2400 1
```

Space group ... P-4m2
Calculated total energy ... -8.0483 eV per atom

(11)
This record from the Alexandria database describes crystalline MnReAsPt2 at its relaxed geometry. The functional is PBE.

```
data_MnReAsPt2
_symmetry_space_group_name_H-M 'P 1'
_symmetry_Int_Tables_number 1
_cell_length_a 4.6288
_cell_length_b 4.3467
_cell_length_c 4.6288
_cell_angle_alpha 90.00
_cell_angle_beta 90.00
_cell_angle_gamma 90.00
loop_
_symmetry_equiv_pos_as_xyz
'x,y,z'
loop_
_atom_site_label
_atom_site_type_symbol
_atom_site_fract_x
_atom_site_fract_y
_atom_site_fract_z
_atom_site_occupancy
Mn1 Mn 0.0000 0.0000 0.0000 1
As1 As 0.5000 0.5000 0.5000 1
Pt1 Pt 0.5000 0.0000 0.0000 1
Pt2 Pt 0.0000 0.0000 0.5000 1
Re1 Re 0.0000 0.5000 0.0000 1
```

Space group ... P4/mmm
Calculated total energy ... -6.4063 eV per atom

(12)
This record from the Alexandria database describes crystalline MnAsPtSe2 at its relaxed geometry. The functional is PBE.

```
data_MnAsPtSe2
_symmetry_space_group_name_H-M 'P 1'
_symmetry_Int_Tables_number 1
_cell_length_a 5.2286
_cell_length_b 5.2286
_cell_length_c 4.5887
_cell_angle_alpha 90.00
_cell_angle_beta 90.00
_cell_angle_gamma 90.00
loop_
_symmetry_equiv_pos_as_xyz
'x,y,z'
loop_
_atom_site_label
_atom_site_type_symbol
_atom_site_fract_x
_atom_site_fract_y
_atom_site_fract_z
_atom_site_occupancy
Pt1 Pt 0.0000 0.0000 0.0000 1
Se1 Se 0.5000 0.0000 0.0000 1
As1 As 0.0000 0.0000 0.5000 1
Se2 Se 0.0000 0.5000 0.0000 1
Mn1 Mn 0.5000 0.5000 0.5000 1
```

Space group ... P4/mmm
Uncorrected formation energy ... 0.573 eV/atom
Calculated total energy ... -4.7931 eV per atom

(13)
This record from the Alexandria database describes crystalline MnAsPt2Se at its relaxed geometry. The functional is PBE.

```
data_MnAsPt2Se
_symmetry_space_group_name_H-M 'P 1'
_symmetry_Int_Tables_number 1
_cell_length_a 4.7006
_cell_length_b 4.7150
_cell_length_c 4.7006
_cell_angle_alpha 90.00
_cell_angle_beta 90.00
_cell_angle_gamma 90.00
loop_
_symmetry_equiv_pos_as_xyz
'x,y,z'
loop_
_atom_site_label
_atom_site_type_symbol
_atom_site_fract_x
_atom_site_fract_y
_atom_site_fract_z
_atom_site_occupancy
Se1 Se 0.5000 0.5000 0.5000 1
Pt1 Pt 0.5000 0.0000 0.0000 1
As1 As 0.0000 0.0000 0.0000 1
Mn1 Mn 0.0000 0.5000 0.0000 1
Pt2 Pt 0.0000 0.0000 0.5000 1
```

Space group ... P4/mmm
Uncorrected formation energy ... 0.529 eV/atom
Calculated total energy ... -5.3479 eV per atom

(14)
This record from the Alexandria database describes crystalline MnAs2PtSe at its relaxed geometry. The functional is PBE.

```
data_MnAs2PtSe
_symmetry_space_group_name_H-M 'P 1'
_symmetry_Int_Tables_number 1
_cell_length_a 4.5278
_cell_length_b 4.5278
_cell_length_c 4.6689
_cell_angle_alpha 90.00
_cell_angle_beta 90.00
_cell_angle_gamma 90.00
loop_
_symmetry_equiv_pos_as_xyz
'x,y,z'
loop_
_atom_site_label
_atom_site_type_symbol
_atom_site_fract_x
_atom_site_fract_y
_atom_site_fract_z
_atom_site_occupancy
Pt1 Pt 0.5000 0.5000 0.5000 1
As1 As 0.0000 0.5000 0.0000 1
As2 As 0.5000 0.0000 0.0000 1
Se1 Se 0.0000 0.0000 0.5000 1
Mn1 Mn 0.0000 0.0000 0.0000 1
```

Space group ... P4/mmm
Uncorrected formation energy ... 0.532 eV/atom
Calculated total energy ... -5.0665 eV per atom